[1]
First-principles (PBE) data for crystalline Na2TcSnO6 at its relaxed geometry, as listed in Alexandria.

a = 5.6136 Å, b = 5.6136 Å, c = 4.0512 Å
α = 90.00°, β = 90.00°, γ = 90.00°
Element x y z (fractional)
Na 0.0000 0.5000 0.0000
Na 0.5000 0.0000 0.0000
Tc 0.0000 0.0000 0.5117
Sn 0.5000 0.5000 0.5581
O 0.0000 0.0000 0.0736
O 0.2375 0.2375 0.5813
O 0.2375 0.7625 0.5813
O 0.5000 0.5000 0.0622
O 0.7625 0.2375 0.5813
O 0.7625 0.7625 0.5813

Calculated values
M_tot, μB per formula unit: 0.96
V, Å³/atom: 12.77
ρ, Mg/m³: 4.7
Raw formation energy, meV per atom: -1480

[2]
First-principles (PBE) data for crystalline NaTc2SnO8 at its relaxed geometry, as listed in Alexandria.

a = 6.5900 Å, b = 6.5900 Å, c = 5.6533 Å
α = 95.87°, β = 95.87°, γ = 58.90°
Element x y z (fractional)
Na 0.0000 0.0000 0.0000
Tc 0.3136 0.3136 0.8750
Tc 0.6864 0.6864 0.1250
Sn 0.5000 0.5000 0.5000
O 0.1649 0.1649 0.7755
O 0.1932 0.5933 0.7356
O 0.3492 0.3492 0.1869
O 0.4067 0.8068 0.2644
O 0.5933 0.1932 0.7356
O 0.6508 0.6508 0.8131
O 0.8068 0.4067 0.2644
O 0.8351 0.8351 0.2245

Calculated values
M_tot, μB per formula unit: 1.02
V, Å³/atom: 17.40
ρ, Mg/m³: 3.7
Raw formation energy, meV per atom: -1409

[3]
First-principles (PBE) data for crystalline NaTcSnO6 at its relaxed geometry, as listed in Alexandria.

a = 5.3845 Å, b = 5.3845 Å, c = 10.2454 Å
α = 90.00°, β = 90.00°, γ = 120.00°
Element x y z (fractional)
Na 0.0000 0.0000 0.0000
Na 0.0000 0.0000 0.5000
Tc 0.3333 0.6667 0.2500
Tc 0.6667 0.3333 0.7500
Sn 0.3333 0.6667 0.7500
Sn 0.6667 0.3333 0.2500
O 0.0251 0.3983 0.1433
O 0.0251 0.6268 0.3567
O 0.3732 0.3983 0.3567
O 0.3732 0.9749 0.1433
O 0.3983 0.0251 0.6433
O 0.3983 0.3732 0.8567
O 0.6017 0.6268 0.1433
O 0.6017 0.9749 0.3567
O 0.6268 0.0251 0.8567
O 0.6268 0.6017 0.6433
O 0.9749 0.3732 0.6433
O 0.9749 0.6017 0.8567

Calculated values
M_tot, μB per formula unit: 0.00
V, Å³/atom: 14.29
ρ, Mg/m³: 4.3
Raw formation energy, meV per atom: -1358

[4]
First-principles (PBE) data for crystalline Na2SnTeO6 at its relaxed geometry, as listed in Alexandria.

a = 5.6512 Å, b = 5.6512 Å, c = 3.9653 Å
α = 90.00°, β = 90.00°, γ = 90.00°
Element x y z (fractional)
Na 0.0000 0.5000 0.0000
Na 0.5000 0.0000 0.0000
Sn 0.0000 0.0000 0.5000
Te 0.5000 0.5000 0.5000
O 0.0000 0.0000 0.0000
O 0.2613 0.2613 0.5000
O 0.2613 0.7387 0.5000
O 0.5000 0.5000 0.0000
O 0.7387 0.2613 0.5000
O 0.7387 0.7387 0.5000

Calculated values
M_tot, μB per formula unit: 0.00
ΔE to the lowest computed polymorph, meV per atom: 102
V, Å³/atom: 12.66
ρ, Mg/m³: 5.1
Raw formation energy, meV per atom: -1343

[5]
First-principles (PBE) data for crystalline Na2SnTeO at its relaxed geometry, as listed in Alexandria.

a = 4.7587 Å, b = 4.7587 Å, c = 4.7791 Å
α = 90.00°, β = 90.00°, γ = 90.00°
Element x y z (fractional)
Na 0.0000 0.5000 0.0000
Na 0.5000 0.0000 0.0000
Sn 0.0000 0.0000 0.5000
Te 0.5000 0.5000 0.5000
O 0.0000 0.0000 0.0000

Calculated values
M_tot, μB per formula unit: 0.00
V, Å³/atom: 21.64
ρ, Mg/m³: 4.7
Raw formation energy, meV per atom: -967

[6]
First-principles (PBE) data for crystalline Na2SnTeO6 at its relaxed geometry, as listed in Alexandria.

a = 5.4928 Å, b = 5.5615 Å, c = 9.5587 Å
α = 90.00°, β = 125.08°, γ = 90.00°
Element x y z (fractional)
Na 0.2413 0.0401 0.2496
Na 0.2413 0.4599 0.7496
Na 0.7587 0.5401 0.2504
Na 0.7587 0.9599 0.7504
Sn 0.0000 0.0000 0.5000
Sn 0.0000 0.5000 0.0000
Te 0.5000 0.0000 0.0000
Te 0.5000 0.5000 0.5000
O 0.1649 0.1957 0.9541
O 0.1649 0.3043 0.4541
O 0.2603 0.7124 0.9517
O 0.2603 0.7876 0.4517
O 0.3502 0.0272 0.7590
O 0.3502 0.4728 0.2590
O 0.6498 0.5272 0.7410
O 0.6498 0.9728 0.2410
O 0.7397 0.2124 0.5483
O 0.7397 0.2876 0.0483
O 0.8351 0.6957 0.5459
O 0.8351 0.8043 0.0459

Calculated values
M_tot, μB per formula unit: 0.00
ΔE to the lowest computed polymorph, meV per atom: 0
V, Å³/atom: 11.95
ρ, Mg/m³: 5.4
Raw formation energy, meV per atom: -1445

[7]
First-principles (PBE) data for crystalline NaSn2TeO8 at its relaxed geometry, as listed in Alexandria.

a = 4.7852 Å, b = 6.6954 Å, c = 4.7887 Å
α = 90.00°, β = 91.76°, γ = 90.00°
Element x y z (fractional)
Na 0.0000 0.0000 0.0000
Sn 0.5000 0.2588 0.5000
Sn 0.5000 0.7412 0.5000
Te 0.0000 0.5000 0.0000
O 0.1925 0.2835 0.1907
O 0.1925 0.7165 0.1907
O 0.2938 0.5000 0.7040
O 0.3326 0.0000 0.6659
O 0.6674 0.0000 0.3341
O 0.7062 0.5000 0.2960
O 0.8075 0.2835 0.8093
O 0.8075 0.7165 0.8093

Calculated values
M_tot, μB per formula unit: 1.00
V, Å³/atom: 12.78
ρ, Mg/m³: 5.6
Raw formation energy, meV per atom: -1226

[8]
First-principles (PBE) data for crystalline NaSnTeO6 at its relaxed geometry, as listed in Alexandria.

a = 4.9100 Å, b = 4.9100 Å, c = 9.5900 Å
α = 90.00°, β = 90.00°, γ = 90.00°
Element x y z (fractional)
Na 0.0000 0.0000 0.0000
Na 0.5000 0.5000 0.5000
Sn 0.0000 0.0000 0.6671
Sn 0.5000 0.5000 0.1671
Te 0.0000 0.0000 0.3349
Te 0.5000 0.5000 0.8349
O 0.1802 0.1802 0.4907
O 0.1990 0.1990 0.1913
O 0.2190 0.2190 0.8195
O 0.2810 0.7190 0.3195
O 0.3010 0.6990 0.6913
O 0.3198 0.6802 0.9907
O 0.6802 0.3198 0.9907
O 0.6990 0.3010 0.6913
O 0.7190 0.2810 0.3195
O 0.7810 0.7810 0.8195
O 0.8010 0.8010 0.1913
O 0.8198 0.8198 0.4907

Calculated values
M_tot, μB per formula unit: 0.99
V, Å³/atom: 12.84
ρ, Mg/m³: 5.2
Raw formation energy, meV per atom: -1141

[9]
First-principles (PBE) data for crystalline Na2TiSnO4 at its relaxed geometry, as listed in Alexandria.

a = 7.8772 Å, b = 6.0522 Å, c = 5.3151 Å
α = 90.00°, β = 90.00°, γ = 90.00°
Element x y z (fractional)
Na 0.2404 0.1820 0.0000
Na 0.2596 0.8180 0.5000
Na 0.7404 0.8180 0.5000
Na 0.7596 0.1820 0.0000
Ti 0.0000 0.3533 0.5270
Ti 0.5000 0.6467 0.0270
Sn 0.0000 0.7358 0.9988
Sn 0.5000 0.2642 0.4988
O 0.0000 0.4050 0.8751
O 0.0000 0.6349 0.3810
O 0.1935 0.2043 0.4525
O 0.3065 0.7957 0.9525
O 0.5000 0.3651 0.8810
O 0.5000 0.5950 0.3751
O 0.6935 0.7957 0.9525
O 0.8065 0.2043 0.4525

Calculated values
M_tot, μB per formula unit: 0.00
V, Å³/atom: 15.84
ρ, Mg/m³: 3.6
Raw formation energy, meV per atom: -2106

[10]
First-principles (PBE) data for crystalline Na2Tl2SnO6 at its relaxed geometry, as listed in Alexandria.

a = 5.7631 Å, b = 5.7631 Å, c = 5.9844 Å
α = 99.75°, β = 99.75°, γ = 118.77°
Element x y z (fractional)
Na 0.1705 0.8295 0.0000
Na 0.8295 0.1705 0.0000
Tl 0.3352 0.6648 0.5000
Tl 0.6648 0.3352 0.5000
Sn 0.0000 0.0000 0.5000
O 0.0582 0.3753 0.7098
O 0.2329 0.2329 0.2977
O 0.3753 0.0582 0.7098
O 0.6247 0.9418 0.2902
O 0.7671 0.7671 0.7023
O 0.9418 0.6247 0.2902

Calculated values
M_tot, μB per formula unit: 0.00
V, Å³/atom: 14.94
ρ, Mg/m³: 6.8
Raw formation energy, meV per atom: -1216

[11]
First-principles (PBE) data for crystalline NaTl2SnO6 at its relaxed geometry, as listed in Alexandria.

a = 6.0750 Å, b = 6.0750 Å, c = 6.0750 Å
α = 56.01°, β = 56.01°, γ = 56.01°
Element x y z (fractional)
Na 0.0000 0.0000 0.0000
Tl 0.2769 0.2769 0.2769
Tl 0.7874 0.7874 0.7874
Sn 0.4878 0.4878 0.4878
O 0.1110 0.6651 0.4091
O 0.2175 0.5831 0.8575
O 0.4091 0.1110 0.6651
O 0.5831 0.8575 0.2175
O 0.6651 0.4091 0.1110
O 0.8575 0.2175 0.5831

Calculated values
M_tot, μB per formula unit: 1.07
V, Å³/atom: 14.39
ρ, Mg/m³: 7.5
Raw formation energy, meV per atom: -973

[12]
First-principles (PBE) data for crystalline Na2TlSnO4 at its relaxed geometry, as listed in Alexandria.

a = 6.0214 Å, b = 3.3198 Å, c = 6.1456 Å
α = 90.00°, β = 112.18°, γ = 90.00°
Element x y z (fractional)
Na 0.0000 0.0000 0.0000
Na 0.0000 0.5000 0.5000
Tl 0.5000 0.0000 0.5000
Sn 0.5000 0.5000 0.0000
O 0.2823 0.0000 0.7879
O 0.2906 0.5000 0.2041
O 0.7094 0.5000 0.7959
O 0.7177 0.0000 0.2121

Calculated values
M_tot, μB per formula unit: 0.00
V, Å³/atom: 14.22
ρ, Mg/m³: 6.3
Raw formation energy, meV per atom: -1313